InFeMo4: relaxed, PBE. Values from VASP.

Structure (Quantum ESPRESSO input):
```
&SYSTEM
  ibrav = 0, nat = 6, ntyp = 3
/
ATOMIC_SPECIES
Mo 95.94 Mo.upf
In 114.82 In.upf
Fe 55.84 Fe.upf
CELL_PARAMETERS angstrom
0.0000 3.7147 3.7147
3.7147 0.0000 3.7147
3.7147 3.7147 0.0000
ATOMIC_POSITIONS crystal
Mo 0.6243 0.1270 0.6243
In 0.0000 0.0000 0.0000
Mo 0.6243 0.6243 0.1270
Mo 0.1270 0.6243 0.6243
Fe 0.2500 0.2500 0.2500
Mo 0.6243 0.6243 0.6243
```

Computed properties:
Its theoretical density is 9.0 g/cm³. The space group is F-43m. As for the energy of formation from the pure elements: 477 meV per atom.